VASP calculation (PBE-GGA) on crystalline KPm2CdTe4 at its relaxed geometry.

Cell and atoms, written as POSCAR:
```
KPm2CdTe4
1.0
2.261 -7.722 0.000
2.261 7.722 0.000
0.000 0.000 16.101
K Pm Cd Te
2 4 2 8
Cartesian
2.261 5.767 12.076 K
2.261 -5.767 4.025 K
2.261 1.943 8.977 Pm
2.261 1.943 15.175 Pm
2.261 -1.943 0.927 Pm
2.261 -1.943 7.124 Pm
2.261 5.299 4.025 Cd
2.261 -5.299 12.076 Cd
0.000 0.000 0.000 Te
0.000 0.000 8.051 Te
2.261 3.573 1.782 Te
2.261 3.573 6.269 Te
2.261 0.741 12.076 Te
2.261 -0.741 4.025 Te
2.261 -3.573 9.832 Te
2.261 -3.573 14.320 Te
```

As for the crystal system: orthorhombic. The space group is No. 63. The electronic total energy is -4.108 eV/atom. Its formation energy without anion corrections is -8.8 eV per formula unit.



VASP calculation (PBE-GGA) on crystalline K2PmCd2Te4 at its relaxed geometry.

Cell and atoms, written as POSCAR:
```
K2PmCd2Te4
1.0
8.787 -2.255 0.000
8.787 2.255 0.000
-3.618 0.000 8.060
K Pm Cd Te
2 1 2 4
Cartesian
1.966 0.000 0.542 K
11.989 0.000 7.518 K
-1.809 0.000 4.030 Pm
3.687 0.000 3.943 Cd
10.268 0.000 4.116 Cd
0.787 0.000 5.879 Te
5.753 0.000 5.938 Te
8.202 0.000 2.121 Te
13.168 0.000 2.181 Te
```

As for the crystal system: monoclinic. The space group is No. 12. The electronic total energy is -3.246 eV/atom. Its formation energy without anion corrections is -7.9 eV per formula unit.



VASP calculation (PBE-GGA) on crystalline KPmTlCd at its relaxed geometry.

Cell and atoms, written as POSCAR:
```
KPmTlCd
1.0
0.000 3.965 3.965
3.965 0.000 3.965
3.965 3.965 0.000
K Pm Tl Cd
1 1 1 1
Cartesian
0.000 0.000 0.000 K
3.965 3.965 3.965 Pm
5.948 5.948 5.948 Tl
1.983 1.983 1.983 Cd
```

As for the crystal system: cubic. The space group is No. 216. The electronic total energy is -2.341 eV/atom. The calculation puts the formation enthalpy at 0 K at -59 meV per atom.



VASP calculation (PBE-GGA) on crystalline KPrCd4 at its relaxed geometry.

Cell and atoms, written as POSCAR:
```
KPrCd4
1.0
0.000 4.347 4.347
4.347 0.000 4.347
4.347 4.347 0.000
K Pr Cd
1 1 4
Cartesian
0.000 0.000 0.000 K
6.521 6.521 6.521 Pr
3.265 3.265 3.265 Cd
5.429 5.429 3.265 Cd
5.429 3.265 5.429 Cd
3.265 5.429 5.429 Cd
```

As for the crystal system: cubic. The space group is No. 216. The electronic total energy is -1.699 eV/atom. The calculation puts the formation enthalpy at 0 K at -110 meV per atom.



VASP calculation (PBE-GGA) on crystalline KPrCdSe3 at its relaxed geometry.

Cell and atoms, written as POSCAR:
```
KPrCdSe3
1.0
9.105 0.000 0.000
0.000 4.380 0.000
-2.767 0.000 9.944
K Pr Cd Se
2 2 2 6
Cartesian
1.254 1.095 2.238 K
5.085 3.285 7.706 K
0.601 3.285 8.556 Pr
5.738 1.095 1.388 Pr
-0.905 1.095 6.044 Cd
7.244 3.285 3.900 Cd
-1.487 1.095 8.608 Se
0.533 3.285 5.334 Se
3.714 3.285 1.529 Se
2.624 1.095 8.414 Se
5.805 1.095 4.610 Se
7.826 3.285 1.335 Se
```

As for the crystal system: monoclinic. The space group is No. 11. The electronic total energy is -4.200 eV/atom. Its formation energy without anion corrections is -8.0 eV per formula unit.



VASP calculation (PBE-GGA) on crystalline K2PrCd2Se4 at its relaxed geometry.

Cell and atoms, written as POSCAR:
```
K2PrCd2Se4
1.0
8.397 -2.141 0.000
8.397 2.141 0.000
-3.368 0.000 7.658
K Pr Cd Se
2 1 2 4
Cartesian
1.913 0.000 0.457 K
11.513 0.000 7.201 K
-1.684 0.000 3.829 Pr
3.608 0.000 3.702 Cd
9.818 0.000 3.956 Cd
0.799 0.000 5.579 Se
5.525 0.000 5.604 Se
7.901 0.000 2.054 Se
12.627 0.000 2.079 Se
```

As for the crystal system: monoclinic. The space group is No. 12. The electronic total energy is -3.615 eV/atom. Its formation energy without anion corrections is -9.8 eV per formula unit.



VASP calculation (PBE-GGA) on crystalline K2PrCd2Te4 at its relaxed geometry.

Cell and atoms, written as POSCAR:
```
K2PrCd2Te4
1.0
8.838 -2.271 0.000
8.838 2.271 0.000
-3.613 0.000 8.071
K Pr Cd Te
2 1 2 4
Cartesian
1.986 0.000 0.529 K
12.077 0.000 7.542 K
-1.806 0.000 4.036 Pr
3.719 0.000 3.955 Cd
10.344 0.000 4.116 Cd
0.844 0.000 5.883 Te
5.773 0.000 5.964 Te
8.290 0.000 2.107 Te
13.219 0.000 2.188 Te
```

As for the crystal system: monoclinic. The space group is No. 12. The electronic total energy is -3.251 eV/atom. Its formation energy without anion corrections is -7.9 eV per formula unit.



VASP calculation (PBE-GGA) on crystalline KPrTlCd at its relaxed geometry.

Cell and atoms, written as POSCAR:
```
KPrTlCd
1.0
0.000 3.994 3.994
3.994 0.000 3.994
3.994 3.994 0.000
K Pr Tl Cd
1 1 1 1
Cartesian
0.000 0.000 0.000 K
3.994 3.994 3.994 Pr
1.997 1.997 1.997 Tl
5.990 5.990 5.990 Cd
```

As for the crystal system: cubic. The space group is No. 216. The electronic total energy is -2.371 eV/atom. The calculation puts the formation enthalpy at 0 K at -81 meV per atom.



VASP calculation (PBE-GGA) on crystalline KCdPt at its relaxed geometry.

Cell and atoms, written as POSCAR:
```
KCdPt
1.0
4.397 0.000 0.000
2.158 4.589 0.000
0.183 1.712 8.467
K Cd Pt
2 2 2
Cartesian
1.190 1.017 1.224 K
5.549 5.283 7.243 K
1.176 1.891 4.921 Cd
5.562 4.410 3.546 Cd
3.360 3.776 5.398 Pt
3.379 2.525 3.069 Pt
```

As for the crystal system: triclinic. The space group is No. 2. The distance to the lowest polymorph of the same formula is 0.141 eV per atom. The electronic total energy is -2.774 eV/atom. The calculation puts the formation enthalpy at 0 K at -90 meV per atom.



VASP calculation (PBE-GGA) on crystalline KCdPt at its relaxed geometry.

Cell and atoms, written as POSCAR:
```
KCdPt
1.0
3.921 -3.654 0.000
3.921 3.654 0.000
-1.898 0.000 5.882
K Cd Pt
2 2 2
Cartesian
3.921 1.885 0.000 K
3.921 -1.885 0.000 K
0.425 0.000 3.004 Cd
3.475 0.000 2.939 Cd
1.950 2.298 2.727 Pt
1.950 -2.298 2.727 Pt
```

As for the crystal system: monoclinic. The space group is No. 8. The distance to the lowest polymorph of the same formula is 0.036 eV per atom. The electronic total energy is -2.879 eV/atom. The calculation puts the formation enthalpy at 0 K at -195 meV per atom.



VASP calculation (PBE-GGA) on crystalline KCdPt at its relaxed geometry.

Cell and atoms, written as POSCAR:
```
KCdPt
1.0
-1.888 1.888 5.891
1.888 -1.888 5.891
1.888 1.888 -5.891
K Cd Pt
1 1 1
Cartesian
0.000 0.000 0.000 K
0.000 0.000 8.607 Cd
0.000 0.000 3.248 Pt
```

As for the crystal system: tetragonal. The space group is No. 107. The distance to the lowest polymorph of the same formula is 0.128 eV per atom. The electronic total energy is -2.787 eV/atom. The calculation puts the formation enthalpy at 0 K at -102 meV per atom.



VASP calculation (PBE-GGA) on crystalline KCd2Pt at its relaxed geometry.

Cell and atoms, written as POSCAR:
```
KCd2Pt
1.0
-1.508 2.814 5.885
1.508 -2.814 5.885
1.508 2.814 -5.885
K Cd Pt
1 2 1
Cartesian
0.000 0.000 0.000 K
1.508 0.000 3.549 Cd
0.000 2.814 2.336 Cd
0.000 0.000 5.885 Pt
```

As for the crystal system: orthorhombic. The space group is No. 71. The electronic total energy is -2.365 eV/atom. The calculation puts the formation enthalpy at 0 K at -123 meV per atom.



VASP calculation (PBE-GGA) on crystalline K2Cd3Pt at its relaxed geometry.

Cell and atoms, written as POSCAR:
```
K2Cd3Pt
1.0
5.010 -4.194 0.000
5.010 4.194 0.000
-1.006 0.000 8.967
K Cd Pt
4 6 2
Cartesian
2.488 2.735 7.577 K
6.023 2.735 5.874 K
2.991 -2.735 3.094 K
6.527 -2.735 1.390 K
4.759 2.794 2.242 Cd
3.211 1.028 4.423 Cd
2.708 -1.028 8.907 Cd
6.306 1.028 0.060 Cd
5.803 -1.028 4.544 Cd
4.256 -2.794 6.726 Cd
4.759 0.095 2.242 Pt
4.256 -0.095 6.726 Pt
```

As for the crystal system: monoclinic. The space group is No. 15. The distance to the lowest polymorph of the same formula is 0.039 eV per atom. The electronic total energy is -1.958 eV/atom. The calculation puts the formation enthalpy at 0 K at -128 meV per atom.



VASP calculation (PBE-GGA) on crystalline KCdPt at its relaxed geometry.

Cell and atoms, written as POSCAR:
```
KCdPt
1.0
5.075 0.000 0.000
-2.537 4.395 0.000
0.000 0.000 3.131
K Cd Pt
1 1 1
Cartesian
0.000 0.000 0.000 K
0.000 2.930 1.566 Cd
2.537 1.465 1.566 Pt
```

As for the crystal system: hexagonal. The space group is No. 187. The distance to the lowest polymorph of the same formula is 0.262 eV per atom. The electronic total energy is -2.653 eV/atom. The calculation puts the formation enthalpy at 0 K at 31 meV per atom.



VASP calculation (PBE-GGA) on crystalline K2Cd2Pt at its relaxed geometry.

Cell and atoms, written as POSCAR:
```
K2Cd2Pt
1.0
-2.455 2.455 16.536
2.455 -2.455 16.536
2.455 2.455 -16.536
K Cd Pt
4 4 2
Cartesian
2.455 1.227 -6.482 K
0.000 1.227 1.785 K
2.455 1.227 14.750 K
0.000 1.227 23.018 K
2.455 1.227 -3.022 Cd
0.000 1.227 5.246 Cd
2.455 1.227 11.290 Cd
0.000 1.227 19.557 Cd
2.455 1.227 4.134 Pt
0.000 1.227 12.402 Pt
```

As for the crystal system: tetragonal. The space group is No. 141. The distance to the lowest polymorph of the same formula is 0.040 eV per atom. The electronic total energy is -2.144 eV/atom. The calculation puts the formation enthalpy at 0 K at -131 meV per atom.



VASP calculation (PBE-GGA) on crystalline KCd2Pt at its relaxed geometry.

Cell and atoms, written as POSCAR:
```
KCd2Pt
1.0
-1.536 2.306 7.848
1.536 -2.306 7.848
1.536 2.306 -7.848
K Cd Pt
1 2 1
Cartesian
0.000 0.000 0.000 K
0.000 0.000 5.339 Cd
0.000 2.306 2.856 Cd
1.536 0.000 2.968 Pt
```

As for the crystal system: orthorhombic. The space group is No. 44. The electronic total energy is -2.395 eV/atom. The calculation puts the formation enthalpy at 0 K at -153 meV per atom.



VASP calculation (PBE-GGA) on crystalline KCd2Pt at its relaxed geometry.

Cell and atoms, written as POSCAR:
```
KCd2Pt
1.0
3.485 0.000 0.000
0.000 3.485 0.000
0.000 0.000 8.318
K Cd Pt
1 2 1
Cartesian
0.000 0.000 0.000 K
1.742 1.742 2.684 Cd
1.742 1.742 5.634 Cd
0.000 0.000 4.159 Pt
```

As for the crystal system: tetragonal. The space group is No. 123. The electronic total energy is -2.298 eV/atom. The calculation puts the formation enthalpy at 0 K at -56 meV per atom.



VASP calculation (PBE-GGA) on crystalline KCd2Pt at its relaxed geometry.

Cell and atoms, written as POSCAR:
```
KCd2Pt
1.0
4.884 -1.521 0.000
4.884 1.521 0.000
-1.094 0.000 7.290
K Cd Pt
1 2 1
Cartesian
0.000 0.000 0.000 K
4.553 0.000 4.173 Cd
7.207 0.000 2.549 Cd
1.882 0.000 4.903 Pt
```

As for the crystal system: monoclinic. The space group is No. 8. The electronic total energy is -2.288 eV/atom. The calculation puts the formation enthalpy at 0 K at -45 meV per atom.



VASP calculation (PBE-GGA) on crystalline K4Cd4Pt at its relaxed geometry.

Cell and atoms, written as POSCAR:
```
K4Cd4Pt
1.0
5.054 -5.041 0.000
5.054 5.041 0.000
-4.983 0.000 7.299
K Cd Pt
4 4 1
Cartesian
0.000 0.000 0.000 K
2.751 2.325 2.997 K
0.459 0.000 7.295 K
2.751 -2.325 2.997 K
0.013 0.000 3.747 Cd
2.797 2.734 6.551 Cd
5.501 0.000 3.741 Cd
2.797 -2.734 6.551 Cd
-2.295 0.000 5.146 Pt
```

As for the crystal system: monoclinic. The space group is No. 8. The electronic total energy is -1.634 eV/atom. The calculation puts the formation enthalpy at 0 K at -69 meV per atom.



VASP calculation (PBE-GGA) on crystalline KCd2Pt at its relaxed geometry.

Cell and atoms, written as POSCAR:
```
KCd2Pt
1.0
3.091 0.000 0.000
0.000 4.251 0.000
-0.059 0.000 7.805
K Cd Pt
1 2 1
Cartesian
0.000 0.000 0.000 K
1.531 2.125 2.606 Cd
3.050 0.000 4.484 Cd
1.502 2.125 5.441 Pt
```

As for the crystal system: monoclinic. The space group is No. 6. The electronic total energy is -2.336 eV/atom. The calculation puts the formation enthalpy at 0 K at -94 meV per atom.



VASP calculation (PBE-GGA) on crystalline KCd2Pt2 at its relaxed geometry.

Cell and atoms, written as POSCAR:
```
KCd2Pt2
1.0
8.442 0.000 0.000
0.000 8.442 0.000
0.000 0.000 2.927
K Cd Pt
2 4 4
Cartesian
0.000 0.000 0.000 K
4.221 4.221 0.000 K
1.101 3.121 0.000 Cd
3.121 7.342 0.000 Cd
5.322 1.101 0.000 Cd
7.342 5.322 0.000 Cd
1.393 5.614 1.463 Pt
2.828 1.393 1.463 Pt
5.614 7.049 1.463 Pt
7.049 2.828 1.463 Pt
```

As for the crystal system: tetragonal. The space group is No. 127. The distance to the lowest polymorph of the same formula is 0.000 eV per atom. The electronic total energy is -3.267 eV/atom. The calculation puts the formation enthalpy at 0 K at -265 meV per atom.



VASP calculation (PBE-GGA) on crystalline K4CdPt at its relaxed geometry.

Cell and atoms, written as POSCAR:
```
K4CdPt
1.0
0.000 4.850 4.850
4.850 0.000 4.850
4.850 4.850 0.000
K Cd Pt
4 1 1
Cartesian
1.195 1.195 1.195 K
3.655 3.655 1.195 K
3.655 1.195 3.655 K
1.195 3.655 3.655 K
4.850 4.850 4.850 Cd
7.276 7.276 7.276 Pt
```

As for the crystal system: cubic. The space group is No. 216. The electronic total energy is -1.441 eV/atom. The calculation puts the formation enthalpy at 0 K at 450 meV per atom.



VASP calculation (PBE-GGA) on crystalline KCd2Pt2 at its relaxed geometry.

Cell and atoms, written as POSCAR:
```
KCd2Pt2
1.0
-2.323 2.323 11.288
2.323 -2.323 11.288
2.323 2.323 -11.288
K Cd Pt
2 4 4
Cartesian
0.000 0.000 2.968 K
0.000 0.000 19.607 K
2.323 0.000 0.000 Cd
0.000 0.000 7.131 Cd
0.000 2.323 0.000 Cd
0.000 0.000 15.444 Cd
2.323 0.000 5.644 Pt
0.000 0.000 9.850 Pt
0.000 0.000 12.725 Pt
0.000 2.323 5.644 Pt
```

As for the crystal system: tetragonal. The space group is No. 139. The distance to the lowest polymorph of the same formula is 0.107 eV per atom. The electronic total energy is -3.159 eV/atom. The calculation puts the formation enthalpy at 0 K at -157 meV per atom.



VASP calculation (PBE-GGA) on crystalline KCd2Pt at its relaxed geometry.

Cell and atoms, written as POSCAR:
```
KCd2Pt
1.0
3.252 -4.493 0.000
3.252 4.493 0.000
0.000 0.000 3.064
K Cd Pt
1 2 1
Cartesian
0.000 0.000 0.000 K
1.626 2.247 1.532 Cd
1.626 -2.247 1.532 Cd
3.252 0.000 0.000 Pt
```

As for the crystal system: orthorhombic. The space group is No. 65. The electronic total energy is -2.048 eV/atom. The calculation puts the formation enthalpy at 0 K at 194 meV per atom.



VASP calculation (PBE-GGA) on crystalline KCd2Pt3 at its relaxed geometry.

Cell and atoms, written as POSCAR:
```
KCd2Pt3
1.0
5.247 -4.228 0.000
5.247 4.228 0.000
0.000 0.000 5.927
K Cd Pt
2 4 6
Cartesian
5.247 2.900 4.445 K
5.247 -2.900 1.482 K
2.861 0.000 0.000 Cd
2.861 0.000 2.964 Cd
7.633 0.000 0.000 Cd
7.633 0.000 2.964 Cd
3.862 2.421 1.482 Pt
6.632 2.421 1.482 Pt
5.247 0.159 1.482 Pt
5.247 -0.159 4.445 Pt
3.862 -2.421 4.445 Pt
6.632 -2.421 4.445 Pt
```

As for the crystal system: orthorhombic. The space group is No. 63. The electronic total energy is -3.551 eV/atom. The calculation puts the formation enthalpy at 0 K at -43 meV per atom.